1.
# NaBi3Ir

A crystal of NaBi3Ir relaxed with PBEsol (meta-GGA SCAN, Alexandria).

Output
SG: Pm-3m
crystal system: cubic
N(E_F): 0.662 states/eV/atom
energy of formation from the pure elements: 1.5377 eV per atom

Cell lengths 5.166, 5.166, 5.166 Å; angles 90.00, 90.00, 90.00 degrees
Atoms (fractional coordinates):
Bi 0.500 0.000 0.000
Bi 0.000 0.000 0.500
Bi 0.000 0.500 0.000
Na 0.000 0.000 0.000
Ir 0.500 0.500 0.500

=====

2.
# NbZnAgMo2

A crystal of NbZnAgMo2 relaxed with PBEsol (meta-GGA SCAN, Alexandria).

Output
SG: P4/mmm
crystal system: tetragonal
N(E_F): 0.895 states/eV/atom
energy of formation from the pure elements: 1.8499 eV per atom

Cell lengths 4.664, 4.664, 5.023 Å; angles 90.00, 90.00, 90.00 degrees
Last column: magnetic moment on the atom in μB.
Atoms (fractional coordinates):
Zn 0.500 0.500 0.500  -0.04
Mo 0.500 0.000 0.000  1.04
Mo 0.000 0.500 0.000  1.04
Nb 0.000 0.000 0.000  -0.27
Ag 0.000 0.000 0.500  -0.03

=====

3.
# TcBiSb2I

A crystal of TcBiSb2I relaxed with PBEsol (meta-GGA SCAN, Alexandria).

Output
formation energy without anion corrections: 1500 meV per atom
SG: P4/mmm
crystal system: tetragonal
N(E_F): 0.694 states/eV/atom

Cell lengths 5.803, 5.803, 5.812 Å; angles 90.00, 90.00, 90.00 degrees
Last column: magnetic moment on the atom in μB.
Atoms (fractional coordinates):
Sb 0.000 0.500 0.000  -0.23
Sb 0.500 0.000 0.000  -0.23
I 0.000 0.000 0.500  -0.02
Bi 0.000 0.000 0.000  0.03
Tc 0.500 0.500 0.500  4.42

=====

4.
# Li7Nd3Zr2O12

A crystal of Li7Nd3Zr2O12 relaxed with PBEsol (meta-GGA SCAN, Alexandria).

Output
formation energy without anion corrections: -3050 meV per atom
SG: I4_1/acd
crystal system: tetragonal
N(E_F): 0.000 states/eV/atom

Cell lengths 11.015, 11.015, 11.015 Å; angles 108.55, 108.55, 111.33 degrees
Atoms (fractional coordinates):
O 0.336 0.063 0.341
O 0.653 0.582 0.375
O 0.101 0.760 0.544
O 0.042 0.472 0.875
O 0.028 0.458 0.125
O 0.716 0.260 0.658
O 0.245 0.086 0.773
O 0.240 0.784 0.342
O 0.414 0.255 0.227
O 0.505 0.777 0.341
O 0.097 0.972 0.429
O 0.914 0.687 0.159
O 0.510 0.351 0.044
O 0.437 0.164 0.659
O 0.597 0.168 0.125
O 0.332 0.903 0.875
O 0.542 0.668 0.571
O 0.836 0.495 0.273
O 0.649 0.692 0.158
O 0.222 0.292 0.375
O 0.027 0.187 0.773
O 0.832 0.958 0.429
O 0.942 0.284 0.544
O 0.527 0.755 0.841
O 0.034 0.192 0.044
O 0.740 0.399 0.456
O 0.808 0.851 0.842
O 0.601 0.058 0.342
O 0.723 0.995 0.659
O 0.216 0.558 0.456
O 0.708 0.082 0.929
O 0.722 0.347 0.929
O 0.153 0.778 0.071
O 0.005 0.664 0.727
O 0.010 0.966 0.158
O 0.308 0.466 0.956
O 0.149 0.990 0.956
O 0.313 0.473 0.227
O 0.208 0.278 0.625
O 0.937 0.277 0.273
O 0.918 0.847 0.625
O 0.442 0.899 0.658
O 0.534 0.490 0.842
O 0.813 0.586 0.841
O 0.745 0.973 0.159
O 0.418 0.792 0.071
O 0.223 0.563 0.727
O 0.528 0.403 0.571
Li 0.731 0.491 0.083
Li 0.509 0.592 0.241
Li 0.519 0.259 0.417
Li 0.241 0.981 0.583
Li 0.351 0.269 0.759
Li 0.408 0.649 0.917
Li 0.231 0.149 0.241
Li 0.899 0.481 0.741
Li 0.908 0.991 0.759
Li 0.399 0.658 0.417
Li 0.842 0.101 0.583
Li 0.433 0.433 0.366
Li 0.851 0.092 0.083
Li 0.000 0.000 0.000
Li 0.567 0.933 0.000
Li 0.183 0.683 0.866
Li 0.250 0.750 0.500
Li 0.342 0.759 0.741
Li 0.933 0.567 0.000
Li 0.067 0.067 0.634
Li 0.817 0.317 0.134
Li 0.009 0.769 0.917
Li 0.317 0.183 0.500
Li 0.019 0.601 0.259
Li 0.683 0.817 0.500
Li 0.741 0.158 0.259
Li 0.750 0.250 0.500
Li 0.500 0.500 0.000
Nd 0.000 0.500 0.500
Nd 0.248 0.625 0.123
Nd 0.748 0.625 0.623
Nd 0.875 0.252 0.877
Nd 0.750 0.750 0.000
Nd 0.875 0.752 0.377
Nd 0.375 0.498 0.623
Nd 0.375 0.998 0.123
Nd 0.002 0.125 0.377
Nd 0.500 0.000 0.500
Nd 0.502 0.125 0.877
Nd 0.250 0.250 0.000
Zr 0.625 0.875 0.250
Zr 0.125 0.375 0.250
Zr 0.125 0.375 0.750
Zr 0.625 0.375 0.250
Zr 0.625 0.875 0.750
Zr 0.125 0.875 0.250
Zr 0.625 0.375 0.750
Zr 0.125 0.875 0.750

=====

5.
# SiRu2W2

A crystal of SiRu2W2 relaxed with PBEsol (meta-GGA SCAN, Alexandria).

Output
formation energy without anion corrections: 728 meV per atom
SG: I4/mmm
crystal system: tetragonal
N(E_F): 0.841 states/eV/atom

Cell lengths 3.739, 3.739, 6.485 Å; angles 106.76, 106.76, 90.00 degrees
Atoms (fractional coordinates):
W 0.608 0.608 0.217
W 0.392 0.392 0.783
Ru 0.250 0.750 0.500
Ru 0.750 0.250 0.500
Si 0.000 0.000 0.000

=====

6.
# Ta6V3Fe3C2

A crystal of Ta6V3Fe3C2 relaxed with PBEsol (meta-GGA SCAN, Alexandria).

Output
SG: Imm2
crystal system: orthorhombic
N(E_F): 0.552 states/eV/atom
energy of formation from the pure elements: -0.3073 eV per atom

Cell lengths 8.043, 8.074, 8.074 Å; angles 60.25, 60.13, 60.13 degrees
Last column: magnetic moment on the atom in μB.
Atoms (fractional coordinates):
Ta 0.433 0.567 0.567  -0.02
Ta 0.818 0.181 0.567  -0.06
Ta 0.822 0.178 0.178  -0.12
Ta 0.567 0.933 0.933  -0.14
Ta 0.434 0.181 0.567  -0.06
Ta 0.568 0.934 0.313  -0.12
Ta 0.187 0.313 0.313  -0.03
Ta 0.818 0.567 0.181  -0.06
Ta 0.434 0.567 0.181  -0.06
Ta 0.568 0.313 0.934  -0.12
Ta 0.186 0.313 0.934  -0.12
Ta 0.186 0.934 0.313  -0.12
Fe 0.497 0.750 0.750  1.40
Fe 0.002 0.750 0.750  1.40
Fe 0.997 0.253 0.753  1.65
Fe 0.201 0.957 0.957  2.30
Fe 0.997 0.753 0.253  1.65
Fe 0.885 0.957 0.957  2.30
C 0.501 0.750 0.249  -0.01
C 0.503 0.250 0.250  -0.01
C 0.998 0.250 0.250  -0.01
C 0.501 0.249 0.750  -0.01
V 0.796 0.860 0.547  -0.31
V 0.114 0.545 0.545  -0.18
V 0.795 0.545 0.545  -0.18
V 0.198 0.647 0.957  -0.79
V 0.198 0.957 0.647  -0.79
V 0.796 0.547 0.860  -0.31

=====

7.
# BaH5BrO3

A crystal of BaH5BrO3 relaxed with PBEsol (meta-GGA SCAN, Alexandria).

Output
total energy: -220.5 eV/cell
SG: P4/nmm
crystal system: tetragonal
N(E_F): 0.000 states/eV/atom

Cell lengths 4.538, 4.538, 11.864 Å; angles 90.00, 90.00, 90.00 degrees
Atoms (fractional coordinates):
Br 0.500 0.000 0.906
Br 0.000 0.500 0.094
O 0.500 0.000 0.574
O 0.000 0.000 0.678
O 0.500 0.500 0.322
O 0.000 0.500 0.426
O 0.000 0.000 0.322
O 0.500 0.500 0.678
Ba 0.000 0.500 0.812
Ba 0.500 0.000 0.188
H 0.316 0.500 0.372
H 0.184 0.000 0.628
H 0.500 0.000 0.491
H 0.684 0.500 0.372
H 0.000 0.184 0.372
H 0.500 0.684 0.628
H 0.500 0.316 0.628
H 0.000 0.500 0.509
H 0.000 0.816 0.372
H 0.816 0.000 0.628

=====

8.
# TlSbPb

A crystal of TlSbPb relaxed with PBEsol (meta-GGA SCAN, Alexandria).

Output
formation energy without anion corrections: 87 meV per atom
SG: I4mm
crystal system: tetragonal
N(E_F): 0.511 states/eV/atom

Cell lengths 3.379, 3.379, 7.828 Å; angles 102.46, 102.46, 90.00 degrees
Atoms (fractional coordinates):
Tl 0.330 0.330 0.659
Sb 0.665 0.665 0.330
Pb 0.005 0.005 0.010

=====

9.
# TaCr3Ag

A crystal of TaCr3Ag relaxed with PBEsol (meta-GGA SCAN, Alexandria).

Output
SG: Pm-3m
crystal system: cubic
N(E_F): 0.868 states/eV/atom
energy of formation from the pure elements: 1.9840 eV per atom

Cell lengths 4.449, 4.449, 4.449 Å; angles 90.00, 90.00, 90.00 degrees
Atoms (fractional coordinates):
Ta 0.000 0.000 0.000
Ag 0.500 0.500 0.500
Cr 0.000 0.000 0.500
Cr 0.000 0.500 0.000
Cr 0.500 0.000 0.000

=====

10.
# Ag2WCl

A crystal of Ag2WCl relaxed with PBEsol (meta-GGA SCAN, Alexandria).

Output
formation energy without anion corrections: 772 meV per atom
SG: Immm
crystal system: orthorhombic
N(E_F): 0.515 states/eV/atom

Cell lengths 2.764, 4.223, 6.678 Å; angles 108.43, 101.94, 90.00 degrees
Last column: magnetic moment on the atom in μB.
Atoms (fractional coordinates):
Cl 0.500 0.000 0.000  0.03
Ag 0.700 0.700 0.401  0.02
Ag 0.300 0.300 0.599  0.02
W 0.000 0.500 0.000  0.80

=====

11.
# K2SbMoN

A crystal of K2SbMoN relaxed with PBEsol (meta-GGA SCAN, Alexandria).

Output
formation energy without anion corrections: 1272 meV per atom
SG: P4/mmm
crystal system: tetragonal
N(E_F): 0.850 states/eV/atom

Cell lengths 5.190, 6.731, 6.731 Å; angles 90.00, 90.00, 90.00 degrees
Last column: magnetic moment on the atom in μB.
Atoms (fractional coordinates):
N 0.500 0.500 0.500  1.66
K 0.000 0.000 0.500  0.00
K 0.000 0.500 0.000  0.00
Sb 0.000 0.000 0.000  -0.16
Mo 0.500 0.000 0.000  3.52

=====

12.
# Tm3Ni7B2

A crystal of Tm3Ni7B2 relaxed with PBEsol (meta-GGA SCAN, Alexandria).

Output
SG: P6_3/mmc
crystal system: hexagonal
N(E_F): 0.387 states/eV/atom
energy of formation from the pure elements: -0.5936 eV per atom

Cell lengths 4.952, 4.952, 14.073 Å; angles 90.00, 90.00, 120.00 degrees
Atoms (fractional coordinates):
Ni 0.166 0.332 0.147
Ni 0.834 0.668 0.647
Ni 0.332 0.166 0.647
Ni 0.834 0.166 0.853
Ni 0.668 0.834 0.147
Ni 0.166 0.834 0.147
Ni 0.668 0.834 0.353
Ni 0.000 0.000 0.000
Ni 0.332 0.166 0.853
Ni 0.834 0.166 0.647
Ni 0.166 0.834 0.353
Ni 0.834 0.668 0.853
Ni 0.000 0.000 0.500
Ni 0.166 0.332 0.353
B 0.000 0.000 0.750
B 0.667 0.333 0.750
B 0.333 0.667 0.250
B 0.000 0.000 0.250
Tm 0.667 0.333 0.467
Tm 0.333 0.667 0.967
Tm 0.667 0.333 0.250
Tm 0.333 0.667 0.533
Tm 0.333 0.667 0.750
Tm 0.667 0.333 0.033